1 | Ho4NiAg: optimized geometry, PBE-GGA. Values from VASP.

```
&SYSTEM
  ibrav = 0, nat = 12, ntyp = 3
/
ATOMIC_SPECIES
Ho 164.93 Ho.upf
Ni 58.69 Ni.upf
Ag 107.87 Ag.upf
CELL_PARAMETERS angstrom
7.7953 -0.2679 0.0000
-3.3929 7.0233 0.0000
-2.2012 -3.3777 6.6772
ATOMIC_POSITIONS crystal
Ho 0.3257 0.5195 0.8063
Ho 0.7313 0.0142 0.2829
Ho 0.7642 0.9813 0.7829
Ho 0.2695 0.9632 0.6937
Ho 0.1983 0.9813 0.2171
Ho 0.7132 0.5195 0.1937
Ho 0.2695 0.5757 0.3063
Ho 0.7313 0.4483 0.7171
Ni 0.5107 0.0107 0.5000
Ni 0.7607 0.7607 0.0000
Ag 0.9878 0.4878 0.5000
Ag 0.2378 0.2378 0.0000
```

Space group: I4_1md
Total magnetization, μB per cell: 1.52

2 | Ho4NiAg: optimized geometry, PBE-GGA. Values from VASP.

```
&SYSTEM
  ibrav = 0, nat = 24, ntyp = 3
/
ATOMIC_SPECIES
Ho 164.93 Ho.upf
Ni 58.69 Ni.upf
Ag 107.87 Ag.upf
CELL_PARAMETERS angstrom
-5.3603 3.1651 7.0414
-4.4052 -6.0810 5.6522
2.8348 -1.0444 8.8997
ATOMIC_POSITIONS crystal
Ho 0.9388 0.5612 0.5612
Ho 0.8141 0.8141 0.1859
Ho 0.9388 0.5612 0.9388
Ho 0.1859 0.8141 0.8141
Ho 0.8141 0.1859 0.8141
Ho 0.1859 0.1859 0.8141
Ho 0.3995 0.3995 0.3995
Ho 0.8016 0.3995 0.3995
Ho 0.5612 0.5612 0.9388
Ho 0.8141 0.1859 0.1859
Ho 0.5612 0.9388 0.5612
Ho 0.9388 0.9388 0.5612
Ho 0.3995 0.8016 0.3995
Ho 0.5612 0.9388 0.9388
Ho 0.1859 0.8141 0.1859
Ho 0.3995 0.3995 0.8016
Ni 0.1796 0.6068 0.6068
Ni 0.6068 0.6068 0.6068
Ni 0.6068 0.1796 0.6068
Ni 0.6068 0.6068 0.1796
Ag 0.1678 0.1678 0.1678
Ag 0.4965 0.1678 0.1678
Ag 0.1678 0.4965 0.1678
Ag 0.1678 0.1678 0.4965
```

Space group: F-43m
Total magnetization, μB per cell: 0.00

Ordering by calculated energy gives the sequence 2, 1, with the first entry being the most stable.

1 | Ho7Ni2Ag2: optimized geometry, PBE-GGA. Values from VASP.

```
&SYSTEM
  ibrav = 0, nat = 11, ntyp = 3
/
ATOMIC_SPECIES
Ho 164.93 Ho.upf
Ag 107.87 Ag.upf
Ni 58.69 Ni.upf
CELL_PARAMETERS angstrom
-1.9409 -2.8563 1.1234
6.4422 -6.8739 -0.4775
4.6794 -2.4093 7.8281
ATOMIC_POSITIONS crystal
Ho 0.5000 0.0147 0.9853
Ho 0.6265 0.4727 0.2743
Ho 0.1890 0.7155 0.9065
Ho 0.1407 0.1127 0.6059
Ho 0.3735 0.7257 0.5273
Ho 0.8593 0.3941 0.8873
Ho 0.8110 0.0935 0.2845
Ag 0.0000 0.7600 0.2400
Ag 0.5000 0.3562 0.6438
Ni 0.7414 0.8630 0.6541
Ni 0.2586 0.3459 0.1370
```

Space group: Imm2
Total magnetization, μB per cell: 0.00

2 | Ho7Ni2Ag2: optimized geometry, PBE-GGA. Values from VASP.

```
&SYSTEM
  ibrav = 0, nat = 11, ntyp = 3
/
ATOMIC_SPECIES
Ni 58.69 Ni.upf
Ho 164.93 Ho.upf
Ag 107.87 Ag.upf
CELL_PARAMETERS angstrom
-6.0308 -2.3357 -1.5869
0.4841 -4.6984 5.0773
-0.5898 4.8399 4.5356
ATOMIC_POSITIONS crystal
Ni 0.7057 0.0000 0.2943
Ni 0.2943 0.0000 0.7057
Ho 0.0000 0.0000 0.0000
Ho 0.0002 0.7505 0.4997
Ho 0.4997 0.2495 0.0002
Ho 0.5003 0.7505 0.9998
Ho 0.4998 0.2433 0.5002
Ho 0.9998 0.2495 0.5003
Ho 0.5002 0.7567 0.4998
Ag 0.8198 0.5000 0.8198
Ag 0.1802 0.5000 0.1802
```

Space group: Cmmm
Total magnetization, μB per cell: 0.00

Ordering by calculated energy gives the sequence 1, 2, with the first entry being the most stable.

1 | Ho6NiAg2: optimized geometry, PBE-GGA. Values from VASP.

```
&SYSTEM
  ibrav = 0, nat = 18, ntyp = 3
/
ATOMIC_SPECIES
Ho 164.93 Ho.upf
Ni 58.69 Ni.upf
Ag 107.87 Ag.upf
CELL_PARAMETERS angstrom
6.6881 0.0000 0.4872
0.0000 7.2430 0.0000
-0.0960 0.0000 9.9970
ATOMIC_POSITIONS crystal
Ho 0.6594 0.1865 0.5557
Ho 0.6316 0.4857 0.2502
Ho 0.8684 0.9857 0.2498
Ho 0.8156 0.6852 0.5509
Ho 0.1594 0.3135 0.0557
Ho 0.1844 0.3148 0.4491
Ho 0.1316 0.0143 0.7502
Ho 0.8406 0.6865 0.9443
Ho 0.3684 0.5143 0.7498
Ho 0.6844 0.1852 0.9491
Ho 0.3406 0.8135 0.4443
Ho 0.3156 0.8148 0.0509
Ni 0.0000 0.0000 0.5000
Ni 0.5000 0.5000 0.0000
Ag 0.5574 0.8924 0.7560
Ag 0.4426 0.1076 0.2440
Ag 0.9426 0.3924 0.7440
Ag 0.0574 0.6076 0.2560
```

Space group: P2_1/c
Total magnetization, μB per cell: 0.00

2 | Ho6NiAg2: optimized geometry, PBE-GGA. Values from VASP.

```
&SYSTEM
  ibrav = 0, nat = 18, ntyp = 3
/
ATOMIC_SPECIES
Ho 164.93 Ho.upf
Ag 107.87 Ag.upf
Ni 58.69 Ni.upf
CELL_PARAMETERS angstrom
-3.4784 -1.8680 7.4477
7.0971 -4.3931 -1.1785
5.2159 2.0157 6.3079
ATOMIC_POSITIONS crystal
Ho 0.1714 0.7466 0.0820
Ho 0.3293 0.0551 0.2742
Ho 0.6707 0.3964 0.2742
Ho 0.1714 0.2534 0.5752
Ho 0.4465 0.2623 0.8158
Ho 0.9219 0.7377 0.8158
Ho 0.0781 0.2623 0.1842
Ho 0.5535 0.7377 0.1842
Ho 0.6707 0.9449 0.7258
Ho 0.8286 0.7466 0.4248
Ho 0.3293 0.6036 0.7258
Ho 0.8286 0.2534 0.9180
Ag 0.8610 0.3610 0.5000
Ag 0.3522 0.0000 0.6478
Ag 0.1390 0.6390 0.5000
Ag 0.6478 0.0000 0.3522
Ni 0.0000 0.0000 0.0000
Ni 0.5000 0.5000 0.0000
```

Space group: Immm
Total magnetization, μB per cell: 0.00

Ordering by calculated energy gives the sequence 1, 2, with the first entry being the most stable.

1 | Ho2Ni2Ag: optimized geometry, PBE-GGA. Values from VASP.

```
&SYSTEM
  ibrav = 0, nat = 10, ntyp = 3
/
ATOMIC_SPECIES
Ni 58.69 Ni.upf
Ag 107.87 Ag.upf
Ho 164.93 Ho.upf
CELL_PARAMETERS angstrom
-1.8959 1.8174 -2.4737
-5.8230 -0.1085 4.3833
2.1336 6.2959 2.9902
ATOMIC_POSITIONS crystal
Ni 0.0000 0.3806 0.8806
Ni 0.0000 0.8806 0.6194
Ni 0.0000 0.6194 0.1194
Ni 0.0000 0.1194 0.3806
Ag 0.0000 0.0000 0.0000
Ag 0.0000 0.5000 0.5000
Ho 0.5000 0.1756 0.6756
Ho 0.5000 0.8244 0.3244
Ho 0.5000 0.3244 0.1756
Ho 0.5000 0.6756 0.8244
```

Space group: P4/mbm
Total magnetization, μB per cell: 0.00

2 | Ho2Ni2Ag: optimized geometry, PBE-GGA. Values from VASP.

```
&SYSTEM
  ibrav = 0, nat = 5, ntyp = 3
/
ATOMIC_SPECIES
Ni 58.69 Ni.upf
Ho 164.93 Ho.upf
Ag 107.87 Ag.upf
CELL_PARAMETERS angstrom
3.5901 0.0000 0.0000
0.0000 3.7832 -1.0755
0.0000 -0.0022 7.1839
ATOMIC_POSITIONS crystal
Ni 0.0000 0.1988 0.3976
Ni 0.0000 0.8012 0.6024
Ho 0.5000 0.3648 0.7296
Ho 0.5000 0.6352 0.2704
Ag 0.0000 0.0000 0.0000
```

Space group: Cmmm
Total magnetization, μB per cell: 0.00

Ordering by calculated energy gives the sequence 2, 1, with the first entry being the most stable.

1 | TbHoAgOs: optimized geometry, PBE-GGA. Values from VASP.

```
&SYSTEM
  ibrav = 0, nat = 4, ntyp = 4
/
ATOMIC_SPECIES
Ag 107.87 Ag.upf
Os 190.23 Os.upf
Tb 158.93 Tb.upf
Ho 164.93 Ho.upf
CELL_PARAMETERS angstrom
3.4068 0.0000 0.0000
0.0000 3.4068 0.0000
0.0000 0.0000 7.6027
ATOMIC_POSITIONS crystal
Ag 0.0000 0.0000 0.0753
Os 0.0000 0.0000 0.5682
Tb 0.5000 0.5000 0.7911
Ho 0.5000 0.5000 0.3501
```

Space group: P4mm
Total magnetization, μB per cell: 0.00

2 | TbHoAgOs: optimized geometry, PBE-GGA. Values from VASP.

```
&SYSTEM
  ibrav = 0, nat = 4, ntyp = 4
/
ATOMIC_SPECIES
Tb 158.93 Tb.upf
Ho 164.93 Ho.upf
Ag 107.87 Ag.upf
Os 190.23 Os.upf
CELL_PARAMETERS angstrom
4.9485 0.0000 0.0000
2.4742 4.2855 0.0000
2.4742 1.4285 4.0404
ATOMIC_POSITIONS crystal
Tb 0.0000 0.0000 0.0000
Ho 0.5000 0.5000 0.5000
Ag 0.2500 0.2500 0.2500
Os 0.7500 0.7500 0.7500
```

Space group: F-43m
Total magnetization, μB per cell: 0.00

Ordering by calculated energy gives the sequence 1, 2, with the first entry being the most stable.

1 | HoTmAgOs: optimized geometry, PBE-GGA. Values from VASP.

```
&SYSTEM
  ibrav = 0, nat = 4, ntyp = 4
/
ATOMIC_SPECIES
Tm 168.93 Tm.upf
Ag 107.87 Ag.upf
Os 190.23 Os.upf
Ho 164.93 Ho.upf
CELL_PARAMETERS angstrom
3.3803 0.0000 0.0000
0.0000 3.3803 0.0000
0.0000 0.0000 7.5305
ATOMIC_POSITIONS crystal
Tm 0.5000 0.5000 0.3506
Ag 0.0000 0.0000 0.0754
Os 0.0000 0.0000 0.5681
Ho 0.5000 0.5000 0.7905
```

Space group: P4mm
Total magnetization, μB per cell: 0.00

2 | HoTmAgOs: optimized geometry, PBE-GGA. Values from VASP.

```
&SYSTEM
  ibrav = 0, nat = 4, ntyp = 4
/
ATOMIC_SPECIES
Ag 107.87 Ag.upf
Tm 168.93 Tm.upf
Ho 164.93 Ho.upf
Os 190.23 Os.upf
CELL_PARAMETERS angstrom
-3.2017 -3.6656 -0.6064
0.5158 -4.1545 2.5553
-3.1801 -1.0941 3.5700
ATOMIC_POSITIONS crystal
Ag 0.2500 0.2500 0.2500
Tm 0.5000 0.5000 0.5000
Ho 0.0000 0.0000 0.0000
Os 0.7500 0.7500 0.7500
```

Space group: F-43m
Total magnetization, μB per cell: 0.00

Ordering by calculated energy gives the sequence 1, 2, with the first entry being the most stable.